Entry 1:
Compound: Sm2Er3Tm3
Source: the Alexandria database
Functional: GGA-PBE
Structure: optimized geometry

## Properties
spin magnetization	0.0	μB per formula unit
calculated volume	31.98	Å³ per atom
total DFT energy (no corrections)	-4.320	eV/atom
excess energy over the best structure of this formula in the dataset	0.222	eV per atom
SG	R32
N(E_F)	20.2	states/eV per cell
ΔH_f (0 K)	0.25	eV/atom

Cell lengths 6.348, 6.348, 6.348 Å; angles 90.02, 90.02, 89.98 degrees
Atoms (fractional coordinates):
1 Sm 0.250 0.250 0.750
2 Sm 0.750 0.750 0.250
3 Er 0.251 0.749 0.000
4 Er 0.000 0.251 0.251
5 Er 0.749 0.000 0.749
6 Tm 0.251 0.749 0.500
7 Tm 0.500 0.251 0.251
8 Tm 0.749 0.500 0.749

=====

Entry 2:
Compound: Sm3Er2Tm4
Source: the Alexandria database
Functional: GGA-PBE
Structure: optimized geometry

## Properties
spin magnetization	0.0	μB per formula unit
calculated volume	31.32	Å³ per atom
total DFT energy (no corrections)	-4.468	eV/atom
SG	C2/c
N(E_F)	26.1	states/eV per cell
ΔH_f (0 K)	0.11	eV/atom

Cell lengths 6.008, 11.153, 11.153 Å; angles 62.16, 63.47, 63.47 degrees
Atoms (fractional coordinates):
1 Sm 0.751 0.065 0.268
2 Sm 0.749 0.732 0.935
3 Sm 0.249 0.935 0.732
4 Sm 0.251 0.268 0.065
5 Sm 0.250 0.603 0.397
6 Sm 0.750 0.397 0.603
7 Er 0.422 0.246 0.517
8 Er 0.078 0.483 0.754
9 Er 0.578 0.754 0.483
10 Er 0.922 0.517 0.246
11 Tm 0.421 0.913 0.184
12 Tm 0.079 0.816 0.087
13 Tm 0.579 0.087 0.816
14 Tm 0.921 0.184 0.913
15 Tm 0.080 0.149 0.421
16 Tm 0.420 0.579 0.851
17 Tm 0.920 0.851 0.579
18 Tm 0.580 0.421 0.149

=====

Entry 3:
Compound: Sm2Er5Tm
Source: the Alexandria database
Functional: GGA-PBE
Structure: optimized geometry

## Properties
spin magnetization	0.0	μB per formula unit
calculated volume	31.15	Å³ per atom
total DFT energy (no corrections)	-4.569	eV/atom
excess energy over the best structure of this formula in the dataset	0.000	eV per atom
SG	Pbam
N(E_F)	20.6	states/eV per cell
ΔH_f (0 K)	0.02	eV/atom

Cell lengths 4.990, 7.067, 14.135 Å; angles 90.00, 90.00, 90.00 degrees
Atoms (fractional coordinates):
1 Sm 0.500 0.249 0.625
2 Sm 0.500 0.751 0.375
3 Sm 0.500 0.251 0.125
4 Sm 0.500 0.749 0.875
5 Er 0.000 0.000 0.000
6 Er 0.000 0.500 0.500
7 Er 0.000 0.499 0.750
8 Er 0.000 0.501 0.250
9 Er 0.000 0.001 0.250
10 Er 0.000 0.999 0.750
11 Er 0.500 0.249 0.875
12 Er 0.500 0.751 0.125
13 Er 0.500 0.251 0.375
14 Er 0.500 0.749 0.625
15 Tm 0.000 0.000 0.500
16 Tm 0.000 0.500 0.000

=====

Entry 4:
Compound: Sm4Er2Tm5
Source: the Alexandria database
Functional: GGA-PBE
Structure: optimized geometry

## Properties
spin magnetization	0.0	μB per formula unit
calculated volume	31.63	Å³ per atom
total DFT energy (no corrections)	-4.468	eV/atom
excess energy over the best structure of this formula in the dataset	0.000	eV per atom
SG	C2/m
N(E_F)	17.6	states/eV per cell
ΔH_f (0 K)	0.11	eV/atom

Cell lengths 5.612, 6.520, 9.917 Å; angles 91.23, 106.44, 90.00 degrees
Atoms (fractional coordinates):
1 Sm 0.306 0.927 0.611
2 Sm 0.977 0.716 0.955
3 Sm 0.694 0.073 0.389
4 Sm 0.023 0.284 0.045
5 Er 0.401 0.445 0.803
6 Er 0.599 0.555 0.197
7 Tm 0.791 0.598 0.582
8 Tm 0.209 0.402 0.418
9 Tm 0.870 0.113 0.739
10 Tm 0.500 0.000 0.000
11 Tm 0.130 0.887 0.261